5
Lattice="-2.2638 0.8835 -2.7032 -0.4980 -3.5248 -0.7349 -2.8770 -0.0897 2.3800" Properties=species:S:1:pos:R:3 comment="LiFeO2F PBE with a Hubbard U relaxed" magnetic_moment_mub_per_atom=0.40 final_energy_ev_per_cell=-23.211 n_ef_per_ev_atom=0.88 pbc="T T T"
Li 0.0000 0.0000 0.0000
Fe -2.8194 -1.3655 -0.5290
O -0.2490 -1.7624 -0.3675
O -1.1319 0.4417 -1.3516
F -1.4385 -0.0449 1.1900